The following is a GGA-PBE calculation of an optimized crystal structure of LiCaPmS3, from Alexandria via LeMat-Bulk.

```
data_LiCaPmS3
_space_group_name_H-M_alt 'P 1 21/m 1'
_space_group_IT_number 11
_space_group_name_Hall '-P 2yb'
_cell_length_a 8.287
_cell_length_b 3.971
_cell_length_c 8.478
_cell_angle_alpha 90.00
_cell_angle_beta 100.30
_cell_angle_gamma 90.00
loop_
_atom_site_label
_atom_site_type_symbol
_atom_site_fract_x
_atom_site_fract_y
_atom_site_fract_z
Li1 Li 0.084 0.250 0.082
Ca1 Ca 0.173 0.250 0.721
Pm1 Pm 0.338 0.750 0.321
S1 S 0.108 0.250 0.366
S2 S 0.206 0.750 0.994
S3 S 0.418 0.750 0.665
```

Computed properties:
E_form (uncorrected): -1844 meV/atom
D(E_F): 0.000 states/eV/atom
Magnetic moment: 0.000 μB per formula unit
Calculated total energy: -5.352 eV per atom